Compound: Pr3Nd3Dy8
Source: Alexandria via LeMat-Bulk
Functional: GGA-PBE
Structure: relaxed

Output
Calculated formation energy ... 0.11 eV/atom
ρ ... 7.54 g cm⁻³
Spin magnetization ... 0.00 μB/f.u.
Raw total energy ... -4.570 eV/atom
E above lowest polymorph ... 0 meV/atom

a b c (Å): 5.726 10.818 15.325
angles (deg): 90.00 90.00 90.00
Space group Immm (No. 71)
One atom of each set of equivalent atoms:
Pr (0.000, 0.000, 0.000) x2
Pr (0.000, 0.500, 0.312) x4
Nd (0.000, 0.000, 0.500) x2
Nd (0.000, 0.303, 0.500) x4
Dy (0.000, 0.162, 0.280) x8
Dy (0.000, 0.340, 0.102) x8